# 1
{"formula": "HfScBeNi", "functional": "PBE", "state": "relaxed", "lattice_angstrom": [[0.000, 3.169, 3.169], [3.169, 0.000, 3.169], [3.169, 3.169, 0.000]], "species": ["Hf", "Sc", "Be", "Ni"], "fractional_positions": [[0.000, 0.000, 0.000], [0.500, 0.500, 0.500], [0.250, 0.250, 0.250], [0.750, 0.750, 0.750]], "spacegroup": "F-43m (216)", "total_energy_ev_per_atom": -6.66, "delta_e_f_ev_per_atom": -0.2164, "crystal_system": "cubic", "mass_density_g_cm3": 7.6, "total_magnetization_mub_per_cell": 0.0}

# 2
{"formula": "Sm4Ho3In2", "functional": "PBE", "state": "relaxed", "lattice_angstrom": [[5.351, 0.000, 0.000], [-2.675, 6.231, 0.000], [-0.007, -2.181, 8.246]], "species": ["Sm", "Sm", "Sm", "Sm", "Ho", "Ho", "Ho", "In", "In"], "fractional_positions": [[0.117, 0.235, 0.157], [0.331, 0.662, 0.535], [0.669, 0.338, 0.465], [0.883, 0.765, 0.843], [0.000, 0.000, 0.500], [0.422, 0.843, 0.149], [0.578, 0.157, 0.851], [0.208, 0.416, 0.818], [0.792, 0.584, 0.182]], "spacegroup": "P-1 (2)", "total_energy_ev_per_atom": -4.42, "delta_e_f_ev_per_atom": -0.1868, "crystal_system": "triclinic", "mass_density_g_cm3": 8.0, "total_magnetization_mub_per_cell": 0.0}

# 3
{"formula": "TbTmHg", "functional": "PBE", "state": "relaxed", "lattice_angstrom": [[5.112, 0.000, 0.000], [-2.556, 4.427, 0.000], [0.000, 0.000, 3.691]], "species": ["Tb", "Tm", "Hg"], "fractional_positions": [[0.000, 0.000, 0.000], [0.333, 0.667, 0.530], [0.667, 0.333, 0.340]], "de_polymorph_mev_per_atom": 179, "spacegroup": "P3m1 (156)", "total_energy_ev_per_atom": -3.32, "delta_e_f_ev_per_atom": -0.1842, "crystal_system": "trigonal", "mass_density_g_cm3": 10.5, "total_magnetization_mub_per_cell": 0.0}

# 4
{"formula": "Ac7Bi2Pb2", "functional": "PBE", "state": "relaxed", "lattice_angstrom": [[4.677, -6.162, 0.000], [4.677, 6.162, 0.000], [0.000, 0.000, 8.221]], "species": ["Ac", "Ac", "Ac", "Ac", "Ac", "Ac", "Ac", "Bi", "Bi", "Pb", "Pb"], "fractional_positions": [[0.000, 0.000, 0.000], [0.000, 0.500, 0.285], [0.000, 0.500, 0.715], [0.500, 0.000, 0.285], [0.500, 0.000, 0.715], [0.500, 0.500, 0.257], [0.500, 0.500, 0.743], [0.275, 0.725, 0.000], [0.725, 0.275, 0.000], [0.178, 0.178, 0.500], [0.822, 0.822, 0.500]], "spacegroup": "Cmmm (65)", "total_energy_ev_per_atom": -4.25, "delta_e_f_ev_per_atom": -0.2559, "crystal_system": "orthorhombic", "mass_density_g_cm3": 8.5, "total_magnetization_mub_per_cell": 0.0}

# 5
{"formula": "HgPt2Br", "functional": "PBE", "state": "relaxed", "lattice_angstrom": [[-2.125, 2.125, 4.181], [2.125, -2.125, 4.181], [2.125, 2.125, -4.181]], "species": ["Hg", "Pt", "Pt", "Br"], "fractional_positions": [[0.000, 0.000, 0.000], [0.250, 0.750, 0.500], [0.750, 0.250, 0.500], [0.500, 0.500, 0.000]], "de_polymorph_mev_per_atom": 400, "spacegroup": "I4/mmm (139)", "total_energy_ev_per_atom": -2.97, "raw_formation_energy_ev_per_atom": 0.54, "crystal_system": "tetragonal", "mass_density_g_cm3": 14.7, "total_magnetization_mub_per_cell": 0.0}

# 6
{"formula": "Pm8Co3SiBr4", "functional": "PBE", "state": "relaxed", "lattice_angstrom": [[4.066, 2.347, 7.648], [-4.066, 2.347, 7.648], [0.000, -4.694, 7.648]], "species": ["Pm", "Pm", "Pm", "Pm", "Pm", "Pm", "Pm", "Pm", "Co", "Co", "Co", "Si", "Br", "Br", "Br", "Br"], "fractional_positions": [[0.216, 0.740, 0.740], [0.232, 0.232, 0.232], [0.260, 0.260, 0.784], [0.260, 0.784, 0.260], [0.740, 0.216, 0.740], [0.740, 0.740, 0.216], [0.768, 0.768, 0.768], [0.784, 0.260, 0.260], [0.000, 0.000, 0.500], [0.000, 0.500, 0.000], [0.500, 0.000, 0.000], [0.500, 0.500, 0.500], [0.000, 0.000, 0.000], [0.000, 0.500, 0.500], [0.500, 0.000, 0.500], [0.500, 0.500, 0.000]], "spacegroup": "R-3m (166)", "total_energy_ev_per_atom": -5.23, "raw_formation_energy_ev_per_atom": -0.77, "crystal_system": "trigonal", "mass_density_g_cm3": 6.4, "total_magnetization_mub_per_cell": 0.0}